No. 1
# GGA-PBE CaFe2Ru, optimized geometry
# Space-group type = No. 99
# ΔH_f (0 K) = 340 meV per atom
data_CaFe2Ru
_chemical_formula_sum 'Ca1 Fe2 Ru1'
_cell_length_a 3.071
_cell_length_b 3.071
_cell_length_c 6.990
_cell_angle_alpha 90.00
_cell_angle_beta 90.00
_cell_angle_gamma 90.00
_space_group_name_H-M_alt 'P 1'
_space_group_IT_number 1
_space_group_name_Hall 'P 1'
loop_
_atom_site_label
_atom_site_type_symbol
_atom_site_fract_x
_atom_site_fract_y
_atom_site_fract_z
Ru1 Ru 0.000 0.000 0.435
Ca1 Ca 0.500 0.500 0.747
Fe1 Fe 0.000 0.000 0.072
Fe2 Fe 0.500 0.500 0.246

No. 2
# GGA-PBE CaFe2Ru, optimized geometry
# Space-group type = No. 6
# ΔH_f (0 K) = 436 meV per atom
data_CaFe2Ru
_chemical_formula_sum 'Ca1 Fe2 Ru1'
_cell_length_a 4.081
_cell_length_b 2.769
_cell_length_c 6.014
_cell_angle_alpha 77.40
_cell_angle_beta 90.00
_cell_angle_gamma 90.00
_space_group_name_H-M_alt 'P 1'
_space_group_IT_number 1
_space_group_name_Hall 'P 1'
loop_
_atom_site_label
_atom_site_type_symbol
_atom_site_fract_x
_atom_site_fract_y
_atom_site_fract_z
Ru1 Ru 0.000 0.473 0.434
Ca1 Ca 0.500 0.764 0.750
Fe1 Fe 0.000 0.022 0.067
Fe2 Fe 0.500 0.241 0.248

No. 3
# GGA-PBE CaFeRu, optimized geometry
# Space-group type = No. 62
# ΔH_f (0 K) = 402 meV per atom
data_CaFeRu
_chemical_formula_sum 'Ca4 Fe4 Ru4'
_cell_length_a 5.579
_cell_length_b 4.099
_cell_length_c 10.647
_cell_angle_alpha 90.00
_cell_angle_beta 90.00
_cell_angle_gamma 90.00
_space_group_name_H-M_alt 'P 1'
_space_group_IT_number 1
_space_group_name_Hall 'P 1'
loop_
_atom_site_label
_atom_site_type_symbol
_atom_site_fract_x
_atom_site_fract_y
_atom_site_fract_z
Ru1 Ru 0.385 0.250 0.455
Ru2 Ru 0.115 0.750 0.955
Ru3 Ru 0.615 0.750 0.545
Ru4 Ru 0.885 0.250 0.045
Ca1 Ca 0.881 0.250 0.366
Ca2 Ca 0.619 0.750 0.866
Ca3 Ca 0.119 0.750 0.634
Ca4 Ca 0.381 0.250 0.134
Fe1 Fe 0.114 0.250 0.841
Fe2 Fe 0.386 0.750 0.341
Fe3 Fe 0.886 0.750 0.159
Fe4 Fe 0.614 0.250 0.659

No. 4
# GGA-PBE CaFe2Ru, optimized geometry
# Space-group type = No. 216
# ΔH_f (0 K) = 539 meV per atom
data_CaFe2Ru
_chemical_formula_sum 'Ca1 Fe2 Ru1'
_cell_length_a 4.458
_cell_length_b 4.458
_cell_length_c 4.458
_cell_angle_alpha 120.07
_cell_angle_beta 120.07
_cell_angle_gamma 89.88
_space_group_name_H-M_alt 'P 1'
_space_group_IT_number 1
_space_group_name_Hall 'P 1'
loop_
_atom_site_label
_atom_site_type_symbol
_atom_site_fract_x
_atom_site_fract_y
_atom_site_fract_z
Ru1 Ru 0.500 0.500 0.000
Ca1 Ca 0.750 0.250 0.500
Fe1 Fe 0.000 0.000 0.000
Fe2 Fe 0.250 0.750 0.500